No. 1
A relaxed Ac2Ag6Au crystal, computed with PBE.

Unit cell a=6.3769 b=6.2156 c=6.2156 alpha=59.99 beta=89.99 gamma=89.99
Sites, in units of the cell vectors:
Ag (0.6656, 0.1782, 0.6436)
Ag (0.3344, 0.8218, 0.3564)
Ag (0.6656, 0.6436, 0.1782)
Ag (0.3344, 0.3564, 0.8218)
Ag (0.3344, 0.8217, 0.8217)
Ag (0.6656, 0.1783, 0.1783)
Ac (0.8477, 0.6666, 0.6666)
Ac (0.1523, 0.3334, 0.3334)
Au (0.0000, 0.0000, 0.0000)

Values from the calculation:
Uncorrected energy ... -3.411 eV per atom
Space-group type ... P-3m1 (164)
Calculated volume ... 23.70 Å³ per atom
Crystal system ... trigonal



No. 2
A relaxed NaAsRh2 crystal, computed with PBE.

Unit cell a=7.2412 b=7.2412 c=5.8594 alpha=51.84 beta=51.84 gamma=90.00
Sites, in units of the cell vectors:
Rh (0.7005, 0.1250, 0.2500)
Rh (0.0495, 0.6250, 0.2500)
Rh (0.8750, 0.9505, 0.7500)
Rh (0.3750, 0.2995, 0.7500)
As (0.0000, 0.0000, 0.0000)
As (0.7500, 0.2500, 0.5000)
Na (0.5000, 0.5000, 0.0000)
Na (0.2500, 0.7500, 0.5000)

Values from the calculation:
Uncorrected energy ... -5.164 eV per atom
Space-group type ... I-42d (122)
Calculated volume ... 18.67 Å³ per atom
Crystal system ... tetragonal



No. 3
A relaxed YH2O crystal, computed with PBE.

Unit cell a=4.2904 b=3.6162 c=5.5130 alpha=90.00 beta=90.62 gamma=90.00
Sites, in units of the cell vectors:
O (0.5637, 0.0000, 0.4192)
O (0.3321, 0.5000, 0.0020)
H (0.7964, 0.0000, 0.9232)
H (0.0737, 0.0000, 0.2596)
H (0.3514, 0.0000, 0.3292)
H (0.0492, 0.5000, 0.5787)
Y (0.8198, 0.5000, 0.2122)
Y (0.2926, 0.0000, 0.7730)

Values from the calculation:
ΔE to the lowest computed polymorph ... 71 meV/atom
Uncorrected energy ... -6.080 eV per atom
Space-group type ... Pm (6)
Calculated volume ... 10.69 Å³ per atom
Crystal system ... monoclinic